The following is a DFT calculation (PBE) of a relaxed ZrSb2Au crystal.

SG = R-3m

Cell lengths 9.339, 9.339, 9.339 Å; angles 21.07, 21.07, 21.07 degrees
Atoms (fractional coordinates):
Au: 0.750 0.750 0.750
Sb: 0.497 0.497 0.497
Sb: 0.003 0.003 0.003
Zr: 0.250 0.250 0.250

***

The following is a DFT calculation (PBE) of a relaxed ReAs4W crystal.

SG = F-43m

Cell lengths 5.262, 5.262, 5.262 Å; angles 60.00, 60.00, 60.00 degrees
Site moments in Bohr magnetons follow the coordinates.
Atoms (fractional coordinates):
W: 0.000 0.000 0.000  0.01
As: 0.375 0.375 0.876  0.00
As: 0.876 0.375 0.375  0.00
As: 0.375 0.876 0.375  0.00
As: 0.375 0.375 0.375  0.00
Re: 0.750 0.750 0.750  0.27

***

The following is a DFT calculation (PBE) of a relaxed TaRhPbAu2 crystal.

SG = P4/mmm

Cell lengths 5.132, 4.616, 5.132 Å; angles 90.00, 90.00, 90.00 degrees
Atoms (fractional coordinates):
Rh: 0.000 0.000 0.000
Au: 0.500 0.000 0.000
Au: 0.000 0.000 0.500
Ta: 0.000 0.500 0.000
Pb: 0.500 0.500 0.500

***

The following is a DFT calculation (PBE) of a relaxed CaZn crystal.

SG = Fm-3m

Cell lengths 4.352, 4.352, 4.352 Å; angles 60.00, 60.00, 60.00 degrees
Atoms (fractional coordinates):
Zn: 0.500 0.500 0.500
Ca: 0.000 0.000 0.000

***

The following is a DFT calculation (PBE) of a relaxed Hf2PdRh crystal.

SG = C2/m

Cell lengths 3.281, 6.929, 6.914 Å; angles 85.49, 76.28, 103.71 degrees
Atoms (fractional coordinates):
Hf: 0.449 0.036 0.255
Hf: 0.962 0.557 0.750
Hf: 0.212 0.524 0.216
Hf: 0.699 0.003 0.720
Pd: 0.206 0.246 0.951
Pd: 0.455 0.314 0.520
Rh: 0.705 0.746 0.453
Rh: 0.956 0.813 0.017

***

The following is a DFT calculation (PBE) of a relaxed Pd5Pb7 crystal.

SG = C2/m

Cell lengths 3.660, 7.284, 11.831 Å; angles 103.55, 90.00, 104.55 degrees
Atoms (fractional coordinates):
Pd: 0.112 0.225 0.407
Pd: 0.712 0.423 0.808
Pd: 0.288 0.577 0.192
Pd: 0.888 0.775 0.593
Pd: 0.000 0.000 0.000
Pb: 0.949 0.898 0.217
Pb: 0.246 0.491 0.633
Pb: 0.754 0.509 0.367
Pb: 0.500 0.000 0.500
Pb: 0.343 0.686 0.957
Pb: 0.051 0.102 0.783
Pb: 0.657 0.314 0.043

***

no.,total energy (eV for the cell shown)
1,-20.57
2,-36.28
3,-26.01
4,-3.39
5,-71.32
6,-53.69